Model P:
## Pr3Nd4Sm4 (PBE)

Data for a geometry-optimized Pr3Nd4Sm4 structure.

Summary:
space group: Amm2, No. 38
D(E_F): 19.28 states/eV/f.u.
total magnetic moment: 0.00 μB/atom

abc: 5.8549 6.7799 10.9365
angles: 90.00 90.00 115.58
Atoms (fractional coordinates):
Sm (0.5537, 0.1074, 0.0000)
Sm (0.1044, 0.2089, 0.6995)
Sm (0.6146, 0.2292, 0.5000)
Sm (0.1044, 0.2089, 0.3005)
Pr (0.2543, 0.5086, 0.0000)
Pr (0.4079, 0.8158, 0.2949)
Pr (0.4079, 0.8158, 0.7051)
Nd (0.7526, 0.5052, 0.7886)
Nd (0.8875, 0.7750, 0.5000)
Nd (0.7526, 0.5052, 0.2114)
Nd (0.9585, 0.9170, 0.0000)

Model Q:
## Pr3Nd4Sm4 (PBE)

Data for a geometry-optimized Pr3Nd4Sm4 structure.

Summary:
space group: Immm, No. 71
D(E_F): 13.56 states/eV/f.u.
total magnetic moment: 0.00 μB/atom

abc: 3.6391 11.4851 11.2219
angles: 120.78 99.33 90.00
Atoms (fractional coordinates):
Sm (0.7725, 0.2725, 0.5450)
Sm (0.5000, 0.2133, 0.0000)
Sm (0.5000, 0.7867, 0.0000)
Sm (0.2275, 0.7275, 0.4550)
Nd (0.6687, 0.4329, 0.3373)
Nd (0.3313, 0.5671, 0.6627)
Nd (0.3313, 0.0956, 0.6627)
Nd (0.6687, 0.9044, 0.3373)
Pr (0.8971, 0.8971, 0.7942)
Pr (0.1029, 0.1029, 0.2058)
Pr (0.0000, 0.5000, 0.0000)

So which one wins? Going from most stable to least: model P, model Q.

Model P:
## Pr3Nd5Sm3 (PBE)

Data for a geometry-optimized Pr3Nd5Sm3 structure.

Summary:
space group: P-62m, No. 189
D(E_F): 21.28 states/eV/f.u.
total magnetic moment: 0.00 μB/atom

abc: 5.6376 9.8497 9.8497
angles: 120.00 90.00 90.00
Atoms (fractional coordinates):
Sm (0.5000, 0.7299, 0.0000)
Sm (0.5000, 0.0000, 0.7299)
Sm (0.5000, 0.2701, 0.2701)
Pr (0.0000, 0.4201, 0.4201)
Pr (0.0000, 0.5799, 0.0000)
Pr (0.0000, 0.0000, 0.5799)
Nd (0.5000, 0.6667, 0.3333)
Nd (0.5000, 0.6344, 0.6344)
Nd (0.5000, 0.0000, 0.3656)
Nd (0.5000, 0.3333, 0.6667)
Nd (0.5000, 0.3656, 0.0000)

Model Q:
## Pr3Nd5Sm3 (PBE)

Data for a geometry-optimized Pr3Nd5Sm3 structure.

Summary:
space group: P-62m, No. 189
D(E_F): 17.43 states/eV/f.u.
total magnetic moment: 0.00 μB/atom

abc: 5.5785 9.8296 9.8296
angles: 120.00 90.00 90.00
Atoms (fractional coordinates):
Pr (0.5000, 0.6382, 0.6382)
Pr (0.5000, 0.0000, 0.3618)
Pr (0.5000, 0.3618, 0.0000)
Sm (0.0000, 0.0000, 0.5202)
Sm (0.0000, 0.5202, 0.0000)
Sm (0.0000, 0.4798, 0.4798)
Nd (0.5000, 0.6667, 0.3333)
Nd (0.5000, 0.3333, 0.6667)
Nd (0.5000, 0.0000, 0.7327)
Nd (0.5000, 0.7327, 0.0000)
Nd (0.5000, 0.2673, 0.2673)

So which one wins? Going from most stable to least: model P, model Q.

Model P:
## PrNdSm (PBE)

Data for a geometry-optimized PrNdSm structure.

Summary:
space group: Cm, No. 8
D(E_F): 4.03 states/eV/f.u.
total magnetic moment: 0.00 μB/atom

abc: 3.6925 3.6949 9.2060
angles: 78.25 90.00 60.02
Atoms (fractional coordinates):
Pr (0.0912, 0.2397, 0.6161)
Nd (0.6499, 0.1225, 0.2758)
Sm (0.8711, 0.6801, 0.9478)

Model Q:
## PrNdSm (PBE)

Data for a geometry-optimized PrNdSm structure.

Summary:
space group: R-3m, No. 166
D(E_F): 4.87 states/eV/f.u.
total magnetic moment: 0.00 μB/atom

abc: 7.0325 7.0325 15.5306
angles: 76.91 76.91 60.00
Atoms (fractional coordinates):
Sm (0.3939, 0.3939, 0.8182)
Sm (0.5000, 0.0000, 0.0000)
Sm (0.5000, 0.5000, 0.5000)
Sm (0.0000, 0.5000, 0.0000)
Sm (0.5000, 0.5000, 0.0000)
Sm (0.6061, 0.6061, 0.1818)
Nd (0.1840, 0.1840, 0.4479)
Nd (0.7378, 0.7378, 0.7865)
Nd (0.2622, 0.2622, 0.2135)
Nd (0.8160, 0.8160, 0.5521)
Nd (0.0390, 0.0390, 0.8830)
Nd (0.9610, 0.9610, 0.1170)
Pr (0.7379, 0.7379, 0.3366)
Pr (0.2621, 0.2621, 0.6634)
Pr (0.7379, 0.1875, 0.3366)
Pr (0.1875, 0.7379, 0.3366)
Pr (0.8125, 0.2621, 0.6634)
Pr (0.2621, 0.8125, 0.6634)

Model R:
## PrNdSm (PBE)

Data for a geometry-optimized PrNdSm structure.

Summary:
space group: Immm, No. 71
D(E_F): 4.34 states/eV/f.u.
total magnetic moment: 0.00 μB/atom

abc: 5.8231 6.8279 6.8281
angles: 95.40 64.76 64.76
Atoms (fractional coordinates):
Nd (0.7478, 0.7522, 0.7522)
Nd (0.2522, 0.2478, 0.2478)
Pr (0.4999, 0.6671, 0.3332)
Pr (0.5001, 0.3329, 0.6668)
Sm (0.0001, 0.8341, 0.1656)
Sm (0.9999, 0.1659, 0.8344)

So which one wins? Going from most stable to least: model P, model R, model Q.

Model P:
## Pr2Nd4Sm (PBE)

Data for a geometry-optimized Pr2Nd4Sm structure.

Summary:
space group: R-3m, No. 166
D(E_F): 9.72 states/eV/f.u.
total magnetic moment: 0.00 μB/atom

abc: 3.6856 3.6856 21.1222
angles: 84.99 84.99 60.00
Atoms (fractional coordinates):
Nd (0.2863, 0.2863, 0.1411)
Nd (0.1429, 0.1429, 0.5712)
Nd (0.8571, 0.8571, 0.4288)
Nd (0.7137, 0.7137, 0.8589)
Pr (0.4283, 0.4283, 0.7150)
Pr (0.5717, 0.5717, 0.2850)
Sm (0.0000, 0.0000, 0.0000)

Model Q:
## Pr2Nd4Sm (PBE)

Data for a geometry-optimized Pr2Nd4Sm structure.

Summary:
space group: P-1, No. 2
D(E_F): 9.79 states/eV/f.u.
total magnetic moment: 0.00 μB/atom

abc: 7.1056 10.6196 7.1404
angles: 90.00 107.17 90.00
Atoms (fractional coordinates):
Nd (0.2707, 0.7138, 0.3091)
Nd (0.7314, 0.2184, 0.1894)
Nd (0.2698, 0.2180, 0.8110)
Nd (0.7293, 0.2862, 0.6909)
Nd (0.2720, 0.2867, 0.3097)
Nd (0.7280, 0.7133, 0.6903)
Nd (0.7302, 0.7820, 0.1890)
Nd (0.2686, 0.7816, 0.8106)
Pr (0.5000, 0.0000, 0.5000)
Pr (0.0000, 0.5000, 0.5000)
Pr (0.0000, 0.0000, 0.0000)
Pr (0.0000, 0.0000, 0.5000)
Sm (0.5000, 0.5000, 0.0000)
Sm (0.0000, 0.5000, 0.0000)

So which one wins? Going from most stable to least: model P, model Q.

Model P:
## Pr3Nd2Sm8 (PBE)

Data for a geometry-optimized Pr3Nd2Sm8 structure.

Summary:
space group: C2/m, No. 12
D(E_F): 20.58 states/eV/f.u.
total magnetic moment: 0.00 μB/atom

abc: 6.2484 11.8792 8.9277
angles: 131.71 72.79 90.00
Atoms (fractional coordinates):
Pr (0.0000, 0.2401, 0.0000)
Pr (0.5000, 0.0000, 0.0000)
Pr (0.0000, 0.7599, 0.0000)
Sm (0.3218, 0.9180, 0.3482)
Sm (0.7792, 0.4432, 0.8864)
Sm (0.6782, 0.5698, 0.6518)
Sm (0.0498, 0.8425, 0.6849)
Sm (0.3218, 0.4302, 0.3482)
Sm (0.6782, 0.0820, 0.6518)
Sm (0.9502, 0.1575, 0.3151)
Sm (0.2208, 0.5568, 0.1136)
Nd (0.3514, 0.2909, 0.5818)
Nd (0.6486, 0.7091, 0.4182)

Model Q:
## Pr3Nd2Sm8 (PBE)

Data for a geometry-optimized Pr3Nd2Sm8 structure.

Summary:
space group: C2/m, No. 12
D(E_F): 21.74 states/eV/f.u.
total magnetic moment: 0.00 μB/atom

abc: 5.7738 7.7691 11.0808
angles: 110.52 90.05 90.00
Atoms (fractional coordinates):
Sm (0.0008, 0.8658, 0.7315)
Sm (0.9987, 0.3299, 0.6598)
Sm (0.4997, 0.1845, 0.7866)
Sm (0.5003, 0.8155, 0.2134)
Sm (0.9992, 0.1342, 0.2685)
Sm (0.4997, 0.6021, 0.7866)
Sm (0.0013, 0.6701, 0.3402)
Sm (0.5003, 0.3979, 0.2134)
Nd (0.5019, 0.7579, 0.5158)
Nd (0.4981, 0.2421, 0.4842)
Pr (0.0000, 0.2906, 0.0000)
Pr (0.0000, 0.7094, 0.0000)
Pr (0.5000, 0.0000, 0.0000)

So which one wins? Going from most stable to least: model P, model Q.

Model P:
## PrNd12Sm6 (PBE)

Data for a geometry-optimized PrNd12Sm6 structure.

Summary:
space group: R-3, No. 148
D(E_F): 29.73 states/eV/f.u.
total magnetic moment: 0.00 μB/atom

abc: 8.7627 8.7627 8.7627
angles: 89.10 89.10 89.10
Atoms (fractional coordinates):
Pr (0.0000, 0.0000, 0.0000)
Nd (0.3609, 0.0171, 0.1960)
Nd (0.5362, 0.4339, 0.7794)
Nd (0.4339, 0.7794, 0.5362)
Nd (0.1960, 0.3609, 0.0171)
Nd (0.5661, 0.2206, 0.4638)
Nd (0.7794, 0.5362, 0.4339)
Nd (0.4638, 0.5661, 0.2206)
Nd (0.9829, 0.8040, 0.6391)
Nd (0.8040, 0.6391, 0.9829)
Nd (0.6391, 0.9829, 0.8040)
Nd (0.0171, 0.1960, 0.3609)
Nd (0.2206, 0.4638, 0.5661)
Sm (0.2607, 0.0966, 0.6977)
Sm (0.6977, 0.2607, 0.0966)
Sm (0.3023, 0.7393, 0.9034)
Sm (0.7393, 0.9034, 0.3023)
Sm (0.9034, 0.3023, 0.7393)
Sm (0.0966, 0.6977, 0.2607)

Model Q:
## PrNd12Sm6 (PBE)

Data for a geometry-optimized PrNd12Sm6 structure.

Summary:
space group: R-3, No. 148
D(E_F): 29.45 states/eV/f.u.
total magnetic moment: 0.00 μB/atom

abc: 8.9970 9.7032 9.7032
angles: 69.10 72.00 108.00
Atoms (fractional coordinates):
Nd (0.5251, 0.8420, 0.2642)
Nd (0.7893, 0.2642, 0.8938)
Nd (0.2637, 0.4227, 0.6305)
Nd (0.8410, 0.9468, 0.4227)
Nd (0.4749, 0.1580, 0.7358)
Nd (0.8942, 0.6305, 0.9468)
Nd (0.2107, 0.7358, 0.1062)
Nd (0.6831, 0.8938, 0.8420)
Nd (0.1058, 0.3695, 0.0532)
Nd (0.7363, 0.5773, 0.3695)
Nd (0.1590, 0.0532, 0.5773)
Nd (0.3169, 0.1062, 0.1580)
Sm (0.0521, 0.6838, 0.5269)
Sm (0.6318, 0.2107, 0.3162)
Sm (0.5789, 0.5269, 0.7893)
Sm (0.3682, 0.7893, 0.6838)
Sm (0.4211, 0.4731, 0.2107)
Sm (0.9479, 0.3162, 0.4731)
Pr (0.0000, 0.0000, 0.0000)

So which one wins? Going from most stable to least: model Q, model P.

Model P:
## PrNdSm2 (PBE)

Data for a geometry-optimized PrNdSm2 structure.

Summary:
space group: Fm-3m, No. 225
D(E_F): 9.76 states/eV/f.u.
total magnetic moment: 0.00 μB/atom

abc: 5.8172 5.8172 5.8172
angles: 60.00 60.00 60.00
Atoms (fractional coordinates):
Pr (0.0000, 0.0000, 0.0000)
Sm (0.2500, 0.2500, 0.2500)
Sm (0.7500, 0.7500, 0.7500)
Nd (0.5000, 0.5000, 0.5000)

Model Q:
## PrNdSm2 (PBE)

Data for a geometry-optimized PrNdSm2 structure.

Summary:
space group: P4/mmm, No. 123
D(E_F): 6.66 states/eV/f.u.
total magnetic moment: 0.00 μB/atom

abc: 5.1689 5.1813 5.1813
angles: 90.00 90.00 90.00
Atoms (fractional coordinates):
Sm (0.0000, 0.5000, 0.0000)
Sm (0.0000, 0.0000, 0.5000)
Pr (0.5000, 0.5000, 0.5000)
Nd (0.5000, 0.0000, 0.0000)

So which one wins? Going from most stable to least: model Q, model P.

Model P:
## PrNdSm2 (PBE)

Data for a geometry-optimized PrNdSm2 structure.

Summary:
space group: Amm2, No. 38
D(E_F): 5.47 states/eV/f.u.
total magnetic moment: 0.00 μB/atom

abc: 3.5892 5.7158 7.0234
angles: 90.00 104.80 90.00
Atoms (fractional coordinates):
Sm (0.1873, 0.0000, 0.3747)
Sm (0.0621, 0.5000, 0.1241)
Pr (0.8025, 0.5000, 0.6049)
Nd (0.4481, 0.0000, 0.8963)

Model Q:
## PrNdSm2 (PBE)

Data for a geometry-optimized PrNdSm2 structure.

Summary:
space group: R3m, No. 160
D(E_F): 5.95 states/eV/f.u.
total magnetic moment: 0.00 μB/atom

abc: 3.6776 3.6776 12.0902
angles: 81.25 81.25 60.00
Atoms (fractional coordinates):
Sm (0.0826, 0.0826, 0.7523)
Sm (0.2505, 0.2505, 0.2486)
Nd (0.6668, 0.6668, 0.9996)
Pr (0.5001, 0.5001, 0.4996)

So which one wins? Going from most stable to least: model Q, model P.

Model P:
## PrNdSm2 (PBE)

Data for a geometry-optimized PrNdSm2 structure.

Summary:
space group: P4/mmm, No. 123
D(E_F): 5.67 states/eV/f.u.
total magnetic moment: 0.00 μB/atom

abc: 3.6642 3.6642 10.3603
angles: 90.00 90.00 90.00
Atoms (fractional coordinates):
Sm (0.0000, 0.0000, 0.2488)
Sm (0.0000, 0.0000, 0.7512)
Nd (0.5000, 0.5000, 0.0000)
Pr (0.5000, 0.5000, 0.5000)

Model Q:
## PrNdSm2 (PBE)

Data for a geometry-optimized PrNdSm2 structure.

Summary:
space group: P-3m1, No. 164
D(E_F): 4.73 states/eV/f.u.
total magnetic moment: 0.00 μB/atom

abc: 3.6820 3.6820 11.8292
angles: 90.00 90.00 60.00
Atoms (fractional coordinates):
Sm (0.6667, 0.6667, 0.2508)
Sm (0.3333, 0.3333, 0.7492)
Pr (0.0000, 0.0000, 0.0000)
Nd (0.0000, 0.0000, 0.5000)

So which one wins? Going from most stable to least: model Q, model P.

Model P:
## PrNd2Sm6 (PBE)

Data for a geometry-optimized PrNd2Sm6 structure.

Summary:
space group: C2/m, No. 12
D(E_F): 12.80 states/eV/f.u.
total magnetic moment: 0.00 μB/atom

abc: 3.5489 12.2708 12.2708
angles: 48.03 54.73 54.73
Atoms (fractional coordinates):
Sm (0.8322, 0.3341, 0.9997)
Sm (0.5000, 0.3334, 0.6666)
Sm (0.1678, 0.6659, 0.0003)
Sm (0.1678, 0.0003, 0.6659)
Sm (0.8322, 0.9997, 0.3341)
Sm (0.5000, 0.6666, 0.3334)
Pr (0.0000, 0.0000, 0.0000)
Nd (0.3331, 0.6667, 0.6667)
Nd (0.6669, 0.3333, 0.3333)

Model Q:
## PrNd2Sm6 (PBE)

Data for a geometry-optimized PrNd2Sm6 structure.

Summary:
space group: P-3m1, No. 164
D(E_F): 15.17 states/eV/f.u.
total magnetic moment: 0.00 μB/atom

abc: 6.1986 7.6534 7.6534
angles: 60.02 90.01 90.01
Atoms (fractional coordinates):
Nd (0.7848, 0.6666, 0.6666)
Nd (0.2152, 0.3334, 0.3334)
Sm (0.7082, 0.1872, 0.6250)
Sm (0.7082, 0.6250, 0.1872)
Sm (0.2916, 0.8128, 0.8128)
Sm (0.7084, 0.1872, 0.1872)
Sm (0.2918, 0.3750, 0.8128)
Sm (0.2918, 0.8128, 0.3750)
Pr (0.0000, 0.0000, 0.0000)

So which one wins? Going from most stable to least: model P, model Q.

Model P:
## Pr3NdSm7 (PBE)

Data for a geometry-optimized Pr3NdSm7 structure.

Summary:
space group: P3m1, No. 156
D(E_F): 17.17 states/eV/f.u.
total magnetic moment: 0.00 μB/atom

abc: 8.8369 7.2330 7.2330
angles: 120.00 90.00 90.00
Atoms (fractional coordinates):
Pr (0.7836, 0.5002, 0.4998)
Pr (0.7836, 0.5002, 0.0004)
Pr (0.7836, 0.9996, 0.4998)
Sm (0.1176, 0.1671, 0.3342)
Sm (0.1176, 0.1671, 0.8329)
Sm (0.4483, 0.8327, 0.6654)
Sm (0.4483, 0.3346, 0.1673)
Sm (0.4483, 0.8327, 0.1673)
Sm (0.1176, 0.6657, 0.8329)
Sm (0.1236, 0.6667, 0.3333)
Nd (0.4428, 0.3333, 0.6667)

Model Q:
## Pr3NdSm7 (PBE)

Data for a geometry-optimized Pr3NdSm7 structure.

Summary:
space group: C2/m, No. 12
D(E_F): 15.33 states/eV/f.u.
total magnetic moment: 0.00 μB/atom

abc: 6.5041 7.8418 7.8420
angles: 81.51 86.08 86.08
Atoms (fractional coordinates):
Sm (0.7886, 0.2384, 0.2384)
Sm (0.2613, 0.4273, 0.0825)
Sm (0.7387, 0.5727, 0.9175)
Sm (0.0000, 0.5000, 0.5000)
Sm (0.2114, 0.7616, 0.7616)
Sm (0.7387, 0.9175, 0.5727)
Sm (0.2613, 0.0825, 0.4273)
Nd (0.5000, 0.5000, 0.5000)
Pr (0.0000, 0.1742, 0.8258)
Pr (0.5000, 0.0000, 0.0000)
Pr (0.0000, 0.8258, 0.1742)

So which one wins? Going from most stable to least: model P, model Q.